DFT (PBE) results for BeNi2Pt2 after structural relaxation.

The density of states at the Fermi level is 1.19 states/eV per atom. The formation energy comes out at -0.05 eV per atom. The spin magnetization is 0.01 μB/cell.

The structure belongs to space group P4/mbm (No. 127); the cell edges are 5.577, 5.577 and 4.057 Å and the angles 90.00°, 90.00° and 90.00°. The inequivalent atoms are Be at (0.000, 0.000, 0.000), Ni at (0.145, 0.355, 0.000) and Pt at (0.171, 0.671, 0.500).